# CaLuAgHg (GGA-PBE, relaxed)
# Raw total energy ... -2.805 eV per atom
# ρ ... 8.89 Mg/m³
data_CaLuAgHg
_symmetry_space_group_name_H-M 'F -4 3 m'
_symmetry_Int_Tables_number 216
_symmetry_space_group_name_Hall 'F -4 2 3'
_cell_length_a 7.314
_cell_length_b 7.314
_cell_length_c 7.314
_cell_angle_alpha 90.00
_cell_angle_beta 90.00
_cell_angle_gamma 90.00
loop_
_atom_site_label
_atom_site_type_symbol
_atom_site_fract_x
_atom_site_fract_y
_atom_site_fract_z
Ca1 Ca 0.000 0.000 0.000
Lu1 Lu 0.000 0.000 0.500
Ag1 Ag 0.250 0.250 0.750
Hg1 Hg 0.250 0.250 0.250